No. 1
Pm2Pr4SmHo, optimized geometry, DFT PBE; E = -4.727 eV/atom; ΔH_f (0 K) = 13 meV per atom; total magnetic moment = 0.000 μB/atom
1.0
5.1847 0.0000 0.0000
0.0000 5.2067 0.0000
-0.0209 0.0000 10.3042
Pm Pr Sm Ho
2 4 1 1
Cartesian
0.0000 0.0000 0.0000
2.5819 2.6033 5.1521
5.1774 2.6033 2.5559
-0.0136 2.6033 7.7483
2.5864 0.0000 2.5627
2.5773 0.0000 7.7414
-0.0105 0.0000 5.1521
2.5923 2.6033 0.0000

No. 2
PmPrSmHo3, optimized geometry, DFT PBE; E = -4.477 eV/atom; ΔH_f (0 K) = 187 meV per atom; total magnetic moment = 0.000 μB/atom
1.0
9.9756 -2.8171 0.0000
9.9756 2.8171 0.0000
-0.0127 0.0000 7.0848
Pm Pr Sm Ho
2 2 2 6
Cartesian
1.0876 0.0000 1.8127
18.8510 0.0000 5.2721
7.0331 0.0000 6.8352
12.9054 0.0000 0.2497
7.0052 0.0000 3.8258
12.9333 0.0000 3.2590
3.2748 0.0000 5.2622
4.4143 0.0000 1.7565
9.5030 0.0000 1.8067
10.4355 0.0000 5.2782
15.5242 0.0000 5.3283
16.6637 0.0000 1.8226

No. 3
PmPrHoSn, optimized geometry, DFT PBE; E = -4.789 eV/atom; ΔH_f (0 K) = -261 meV per atom; total magnetic moment = 0.000 μB/atom
1.0
7.8175 0.0000 0.0000
0.0000 7.8175 0.0000
0.0000 0.0000 7.8175
Pm Pr Ho Sn
4 4 4 4
Cartesian
0.0000 0.0000 0.0000
0.0000 3.9087 3.9087
3.9087 0.0000 3.9087
3.9087 3.9087 0.0000
0.0000 0.0000 3.9087
0.0000 3.9087 0.0000
3.9087 0.0000 0.0000
3.9087 3.9087 3.9087
1.9544 1.9544 5.8631
1.9544 5.8631 1.9544
5.8631 1.9544 1.9544
5.8631 5.8631 5.8631
1.9544 1.9544 1.9544
1.9544 5.8631 5.8631
5.8631 1.9544 5.8631
5.8631 5.8631 1.9544

No. 4
SrPmPrHo, optimized geometry, DFT PBE; E = -3.735 eV/atom; ΔH_f (0 K) = 212 meV per atom; total magnetic moment = 0.000 μB/atom
1.0
8.4272 0.0000 0.0000
0.0000 8.4272 0.0000
0.0000 0.0000 8.4272
Sr Pm Pr Ho
4 4 4 4
Cartesian
0.0000 0.0000 0.0000
0.0000 4.2136 4.2136
4.2136 0.0000 4.2136
4.2136 4.2136 0.0000
2.1068 2.1068 2.1068
2.1068 6.3204 6.3204
6.3204 2.1068 6.3204
6.3204 6.3204 2.1068
2.1068 2.1068 6.3204
2.1068 6.3204 2.1068
6.3204 2.1068 2.1068
6.3204 6.3204 6.3204
0.0000 0.0000 4.2136
0.0000 4.2136 0.0000
4.2136 0.0000 0.0000
4.2136 4.2136 4.2136

No. 5
Tb2Pm5PrHo, optimized geometry, DFT PBE; E = -4.560 eV/atom; ΔH_f (0 K) = 148 meV per atom; total magnetic moment = 0.000 μB/atom
1.0
2.8544 -10.1472 0.0000
2.8544 10.1472 0.0000
0.0000 0.0000 10.6563
Tb Pm Pr Ho
4 10 2 2
Cartesian
2.8544 7.8404 5.3281
2.8544 7.7955 0.9092
2.8544 -7.7955 6.2374
2.8544 -7.8404 0.0000
2.8544 9.8078 8.3986
2.8544 4.4683 0.8582
2.8544 4.1166 5.0542
2.8544 2.3110 8.4124
2.8544 0.4105 5.4048
2.8544 -0.4105 0.0767
2.8544 -2.3110 3.0843
2.8544 -4.1166 10.3823
2.8544 -4.4683 6.1863
2.8544 -9.8078 3.0705
2.8544 1.7639 2.3485
2.8544 -1.7639 7.6766
2.8544 6.0996 8.2907
2.8544 -6.0996 2.9626

No. 6
TbPm2Pr6Ho, optimized geometry, DFT PBE; E = -4.626 eV/atom; ΔH_f (0 K) = 113 meV per atom; total magnetic moment = 0.000 μB/atom
1.0
4.6541 -7.7475 0.0000
4.6541 7.7475 0.0000
-1.4376 0.0000 9.7587
Tb Pm Pr Ho
2 4 12 2
Cartesian
3.5759 7.4021 7.3190
4.2947 -7.4021 2.4397
1.5046 0.7620 5.3059
2.2234 -0.7620 0.4265
5.6472 0.7620 9.3322
6.3660 -0.7620 4.4529
1.7144 4.3251 6.7328
3.9926 4.9376 0.5256
4.5968 4.9376 4.3538
2.4436 1.6280 8.6031
5.4375 4.3251 7.9053
4.7082 1.6280 6.0349
3.1624 -1.6280 3.7238
2.4332 -4.3251 1.8534
5.4270 -1.6280 1.1556
3.2738 -4.9376 5.4049
3.8780 -4.9376 9.2332
6.1563 -4.3251 3.0260
4.2947 1.4037 2.4397
3.5759 -1.4037 7.3190

No. 7
TbPm4PrHo2, optimized geometry, DFT PBE; E = -4.679 eV/atom; ΔH_f (0 K) = 17 meV per atom; total magnetic moment = 0.000 μB/atom
1.0
6.2509 0.0000 0.0000
0.0000 3.6242 0.0000
-2.1101 0.0000 11.7897
Tb Pm Pr Ho
1 4 1 2
Cartesian
0.0000 0.0000 0.0000
-0.0193 0.0000 8.8815
1.0424 1.8121 2.9336
4.1601 0.0000 2.9083
3.0983 1.8121 8.8562
-1.0550 1.8121 5.8949
2.0704 0.0000 5.8949
3.1254 1.8121 0.0000

No. 8
Tb5PmPr2Ho, optimized geometry, DFT PBE; E = -4.405 eV/atom; ΔH_f (0 K) = 266 meV per atom; total magnetic moment = 0.000 μB/atom
1.0
-4.3606 4.3606 7.8941
4.3606 -4.3606 7.8941
4.3606 4.3606 -7.8941
Tb Pm Pr Ho
10 2 4 2
Cartesian
0.0000 0.0000 0.0000
6.2066 1.8460 -2.2070
1.8460 2.5146 -2.2070
6.2066 1.8460 2.2070
1.8460 2.5146 2.2070
0.0000 0.0000 7.8941
2.5146 1.8460 5.6871
-1.8460 2.5146 5.6871
2.5146 1.8460 10.1011
-1.8460 2.5146 10.1011
0.0000 0.0000 3.9470
0.0000 0.0000 11.8411
3.3285 1.0321 0.0000
3.3285 -1.0321 7.8941
1.0321 5.3928 0.0000
1.0321 3.3285 7.8941
4.3606 0.0000 3.9470
0.0000 4.3606 3.9470

No. 9
Tb6PmPr2Ho, optimized geometry, DFT PBE; E = -4.546 eV/atom; ΔH_f (0 K) = 120 meV per atom; total magnetic moment = 0.000 μB/atom
1.0
4.5333 -7.5669 0.0000
4.5333 7.5669 0.0000
-1.6389 0.0000 9.7095
Tb Pm Pr Ho
12 2 4 2
Cartesian
2.4406 4.1889 1.8158
3.0162 4.6884 5.4095
3.5920 4.6884 9.1548
2.9770 1.5728 3.6844
5.8065 4.1889 3.0389
5.2701 1.5728 1.1704
2.1575 -1.5728 8.5391
1.6212 -4.1889 6.6706
4.4507 -1.5728 6.0251
3.8357 -4.6884 0.5548
4.4114 -4.6884 4.3000
4.9870 -4.1889 7.8937
3.3041 1.4360 7.2821
4.1235 -1.4360 2.4274
2.1074 0.7804 0.3980
1.2880 -0.7804 5.2527
6.1397 0.7804 4.4568
5.3203 -0.7804 9.3115
4.1235 7.3201 2.4274
3.3041 -7.3201 7.2821

No. 10
Tb2PmPr5Ho, optimized geometry, DFT PBE; E = -4.430 eV/atom; ΔH_f (0 K) = 291 meV per atom; total magnetic moment = 0.000 μB/atom
1.0
-4.7322 4.7322 7.1335
4.7322 -4.7322 7.1335
4.7322 4.7322 -7.1335
Tb Pm Pr Ho
4 2 10 2
Cartesian
5.7606 1.0284 0.0000
1.0284 3.7038 0.0000
3.7038 1.0284 7.1335
-1.0284 3.7038 7.1335
0.0000 0.0000 3.5668
0.0000 0.0000 10.7003
0.0000 0.0000 0.0000
2.8127 1.9195 -1.8930
2.8127 -1.9195 5.2406
2.8127 1.9195 1.8930
2.8127 -1.9195 9.0265
0.0000 0.0000 7.1335
1.9195 6.6518 -1.8930
1.9195 2.8127 5.2406
1.9195 6.6518 1.8930
1.9195 2.8127 9.0265
4.7322 0.0000 3.5668
0.0000 4.7322 3.5668

No. 11
Tb2Pm4PrHo, optimized geometry, DFT PBE; E = -4.686 eV/atom; ΔH_f (0 K) = 17 meV per atom; total magnetic moment = 0.000 μB/atom
1.0
6.2588 0.0000 0.0000
0.0000 3.6288 0.0000
-2.1223 0.0000 11.8089
Tb Pm Pr Ho
2 4 1 1
Cartesian
0.0000 0.0000 0.0000
-1.0612 1.8144 5.9045
-0.0261 0.0000 8.8194
1.0279 1.8144 2.9775
3.1085 1.8144 8.8314
4.1625 0.0000 2.9895
3.1294 1.8144 0.0000
2.0682 0.0000 5.9045

No. 12
TbPmPr3Ho, optimized geometry, DFT PBE; E = -4.698 eV/atom; ΔH_f (0 K) = 18 meV per atom; total magnetic moment = 0.000 μB/atom
1.0
10.9324 0.0000 0.0000
0.0000 3.6514 0.0000
-3.6679 0.0000 10.3235
Tb Pm Pr Ho
2 2 6 2
Cartesian
0.8558 0.9129 3.9144
6.4086 2.7386 6.4091
0.8753 0.9129 9.0068
6.3891 2.7386 1.3167
-2.7449 0.9129 8.9790
2.7265 2.7386 1.3042
2.6863 2.7386 6.4358
4.5781 0.9129 3.8877
4.5380 0.9129 9.0193
10.0093 2.7386 1.3445
-0.9398 2.7386 6.4118
8.2042 0.9129 3.9117

No. 13
Tb2Pm6PrHo, optimized geometry, DFT PBE; E = -4.598 eV/atom; ΔH_f (0 K) = 114 meV per atom; total magnetic moment = 0.000 μB/atom
1.0
4.6327 -7.6437 0.0000
4.6327 7.6437 0.0000
-1.2206 0.0000 9.6242
Tb Pm Pr Ho
4 12 2 2
Cartesian
1.7493 0.7638 4.3645
1.1390 -0.7638 9.1766
6.9059 0.7638 0.4475
6.2956 -0.7638 5.2596
2.6472 5.9822 8.4824
1.8341 3.4213 6.5977
4.7873 5.9822 5.9538
3.9797 2.7802 0.5326
4.6754 2.7802 4.2794
5.6004 3.4213 7.8386
2.4445 -3.4213 1.7856
3.3694 -2.7802 5.3447
4.0651 -2.7802 9.0915
3.2575 -5.9822 3.6703
6.2107 -3.4213 3.0265
5.3976 -5.9822 1.1418
3.7173 0.3978 7.2181
4.3276 -0.3978 2.4060
4.3276 6.2685 2.4060
3.7173 -6.2685 7.2181

No. 14
TbPmPrHo2, optimized geometry, DFT PBE; E = -4.291 eV/atom; ΔH_f (0 K) = 373 meV per atom; total magnetic moment = 0.000 μB/atom
1.0
4.2202 -5.7971 0.0000
4.2202 5.7971 0.0000
0.0000 0.0000 7.1778
Tb Pm Pr Ho
2 2 2 4
Cartesian
4.2202 3.2269 5.3833
4.2202 -3.2269 1.7944
4.2202 0.0138 5.3833
4.2202 -0.0138 1.7944
4.2202 3.1258 1.7944
4.2202 -3.1258 5.3833
1.5789 0.0000 0.0000
1.5789 0.0000 3.5889
6.8616 0.0000 0.0000
6.8616 0.0000 3.5889

No. 15
Tb2Pm3PrHo6, optimized geometry, DFT PBE; E = -4.631 eV/atom; ΔH_f (0 K) = 15 meV per atom; total magnetic moment = 0.000 μB/atom
1.0
3.1025 -5.3710 0.0000
3.1025 5.3710 0.0000
-2.0600 0.0000 11.6180
Tb Pm Pr Ho
2 3 1 6
Cartesian
3.1025 3.5803 0.0000
3.1025 -3.5803 0.0000
-1.0300 0.0000 5.8090
2.0725 1.7922 5.8090
2.0725 -1.7922 5.8090
3.1025 0.0000 0.0000
0.0011 1.7937 8.7233
1.0347 0.0000 2.8949
0.0011 -1.7937 8.7233
4.1439 1.7937 2.8947
3.1103 0.0000 8.7231
4.1439 -1.7937 2.8947

No. 16
TbPmPrHo, optimized geometry, DFT PBE; E = -4.566 eV/atom; ΔH_f (0 K) = 118 meV per atom; E above lowest polymorph = 0.100 eV per atom; total magnetic moment = 0.000 μB/atom
1.0
8.1258 0.0000 0.0000
0.0000 8.1258 0.0000
0.0000 0.0000 8.1258
Tb Pm Pr Ho
4 4 4 4
Cartesian
0.0000 0.0000 0.0000
0.0000 4.0629 4.0629
4.0629 0.0000 4.0629
4.0629 4.0629 0.0000
2.0314 2.0314 6.0943
2.0314 6.0943 2.0314
6.0943 2.0314 2.0314
6.0943 6.0943 6.0943
2.0314 2.0314 2.0314
2.0314 6.0943 6.0943
6.0943 2.0314 6.0943
6.0943 6.0943 2.0314
0.0000 0.0000 4.0629
0.0000 4.0629 0.0000
4.0629 0.0000 0.0000
4.0629 4.0629 4.0629

No. 17
Tb6PmPr3Ho2, optimized geometry, DFT PBE; E = -4.652 eV/atom; ΔH_f (0 K) = 17 meV per atom; total magnetic moment = 0.000 μB/atom
1.0
3.1214 -5.4044 0.0000
3.1214 5.4044 0.0000
-2.0755 0.0000 11.7314
Tb Pm Pr Ho
6 1 3 2
Cartesian
0.0004 1.8047 8.8428
1.0395 0.0000 2.8884
0.0004 -1.8047 8.8428
4.1668 1.8047 2.8886
3.1278 0.0000 8.8430
4.1668 -1.8047 2.8886
3.1214 0.0000 0.0000
-1.0377 0.0000 5.8657
2.0836 1.8032 5.8657
2.0836 -1.8032 5.8657
3.1214 3.6020 0.0000
3.1214 -3.6020 0.0000

No. 18
TbPm5Pr2Ho, optimized geometry, DFT PBE; E = -4.455 eV/atom; ΔH_f (0 K) = 270 meV per atom; total magnetic moment = 0.000 μB/atom
1.0
-4.3429 4.3429 8.2370
4.3429 -4.3429 8.2370
4.3429 4.3429 -8.2370
Tb Pm Pr Ho
2 10 4 2
Cartesian
0.0000 0.0000 4.1185
0.0000 0.0000 12.3555
0.0000 0.0000 0.0000
6.2158 1.8729 -2.3513
1.8729 2.4700 -2.3513
6.2158 1.8729 2.3513
1.8729 2.4700 2.3513
0.0000 0.0000 8.2370
2.4700 1.8729 5.8857
-1.8729 2.4700 5.8857
2.4700 1.8729 10.5883
-1.8729 2.4700 10.5883
3.2941 1.0488 0.0000
3.2941 -1.0488 8.2370
1.0488 5.3917 0.0000
1.0488 3.2941 8.2370
4.3429 0.0000 4.1185
0.0000 4.3429 4.1185

No. 19
Tb2Pm4Pr2Ho, optimized geometry, DFT PBE; E = -4.704 eV/atom; ΔH_f (0 K) = 7 meV per atom; total magnetic moment = 0.000 μB/atom
1.0
9.4921 -1.8334 0.0000
9.4921 1.8334 0.0000
-4.2091 0.0000 8.7776
Tb Pm Pr Ho
2 4 2 1
Cartesian
2.1037 0.0000 1.4528
12.6714 0.0000 7.3248
0.0159 0.0000 7.3180
8.4411 0.0000 1.4629
6.3341 0.0000 7.3147
14.7592 0.0000 1.4596
4.2423 0.0000 4.4058
10.5328 0.0000 4.3719
-2.1046 0.0000 4.3888

No. 20
TbPmPrHo, optimized geometry, DFT PBE; E = -4.666 eV/atom; ΔH_f (0 K) = 18 meV per atom; E above lowest polymorph = 0.000 eV per atom; total magnetic moment = 0.000 μB/atom
1.0
5.1154 0.0000 0.0000
0.0000 5.1154 0.0000
0.0000 0.0000 10.2009
Tb Pm Pr Ho
2 2 2 2
Cartesian
0.0000 0.0000 0.0000
2.5577 2.5577 5.1005
0.0000 0.0000 5.1005
2.5577 2.5577 0.0000
0.0000 2.5577 7.6507
2.5577 0.0000 2.5502
0.0000 2.5577 2.5502
2.5577 0.0000 7.6507